# 1
Compound: Ca2HfTiIr
Source: Alexandria via LeMat-Bulk
Functional: PBE
Structure: optimized geometry

a = 5.4284 Å, b = 5.4284 Å, c = 5.0303 Å
α = 90.00°, β = 90.00°, γ = 90.00°
With the nearest neighbours (Å) after each atom.
Sites, in units of the cell vectors:
Ti1 0.5000 0.5000 0.5000  8 Ca 3.70, 4 Hf 3.84
Ir1 0.0000 0.0000 0.0000  2 Hf 2.52, 4 Ca 2.71
Ca1 0.0000 0.5000 0.0000  2 Ir 2.71
Hf1 0.0000 0.0000 0.5000  2 Ir 2.52
Ca2 0.5000 0.0000 0.0000  2 Ir 2.71

energy of formation: 0.405 eV per atom

# 2
Compound: CaHfIr2W
Source: Alexandria via LeMat-Bulk
Functional: PBE
Structure: optimized geometry

a = 4.6861 Å, b = 4.6395 Å, c = 4.6861 Å
α = 90.00°, β = 90.00°, γ = 90.00°
With the nearest neighbours (Å) after each atom.
Sites, in units of the cell vectors:
Hf1 0.5000 0.5000 0.5000  8 Ir 3.30, 4 W 3.31
Ir1 0.5000 0.0000 0.0000  2 Ca 2.34
W1 0.0000 0.5000 0.0000  2 Ca 2.32
Ca1 0.0000 0.0000 0.0000  2 W 2.32, 4 Ir 2.34
Ir2 0.0000 0.0000 0.5000  2 Ca 2.34

energy of formation: 1.985 eV per atom

# 3
Compound: CaHfZrIr2
Source: Alexandria via LeMat-Bulk
Functional: PBE
Structure: optimized geometry

a = 4.4889 Å, b = 4.4889 Å, c = 6.4256 Å
α = 110.44°, β = 110.44°, γ = 90.00°
With the nearest neighbours (Å) after each atom.
Sites, in units of the cell vectors:
Ca1 0.0000 0.0000 0.0000  8 Ir 3.43, 4 Zr 3.58, 4 Hf 3.58
Ir1 0.6164 0.6164 0.2327  1 Ir 2.60, 2 Zr 2.70, 2 Hf 2.70
Ir2 0.3836 0.3836 0.7673  1 Ir 2.60, 2 Hf 2.70, 2 Zr 2.70
Hf1 0.7500 0.2500 0.5000  4 Ir 2.70
Zr1 0.2500 0.7500 0.5000  4 Ir 2.70

energy of formation: -0.731 eV per atom

# 4
Compound: K3CaHf
Source: Alexandria via LeMat-Bulk
Functional: PBE
Structure: optimized geometry

a = 6.7564 Å, b = 6.7564 Å, c = 6.7564 Å
α = 90.00°, β = 90.00°, γ = 90.00°
With the nearest neighbours (Å) after each atom.
Sites, in units of the cell vectors:
Hf1 0.0000 0.0000 0.0000  6 K 3.38
K1 0.0000 0.5000 0.0000  2 Hf 3.38
K2 0.5000 0.0000 0.0000  2 Hf 3.38
K3 0.0000 0.0000 0.5000  2 Hf 3.38
Ca1 0.5000 0.5000 0.5000  12 K 4.78

energy above the lowest structure with this stoichiometry: 0.000 eV per atom
energy of formation: 1.209 eV per atom

# 5
Compound: KCaHf2
Source: Alexandria via LeMat-Bulk
Functional: PBE
Structure: optimized geometry

a = 5.5182 Å, b = 5.5182 Å, c = 5.5182 Å
α = 60.00°, β = 60.00°, γ = 60.00°
With the nearest neighbours (Å) after each atom.
Sites, in units of the cell vectors:
Hf1 0.2500 0.2500 0.2500  4 K 3.38, 4 Ca 3.38
Hf2 0.7500 0.7500 0.7500  4 K 3.38, 4 Ca 3.38
Ca1 0.5000 0.5000 0.5000  8 Hf 3.38
K1 0.0000 0.0000 0.0000  8 Hf 3.38

energy above the lowest structure with this stoichiometry: 0.182 eV per atom
energy of formation: 1.291 eV per atom

# 6
Compound: KCaHf2
Source: Alexandria via LeMat-Bulk
Functional: PBE
Structure: optimized geometry

a = 4.3120 Å, b = 4.3120 Å, c = 13.0928 Å
α = 80.52°, β = 80.52°, γ = 90.00°
With the nearest neighbours (Å) after each atom.
Sites, in units of the cell vectors:
Hf1 0.6313 0.1250 0.2500  4 Hf 3.01-3.09
Ca1 0.7500 0.2500 0.5000  4 K 3.05
K1 0.5000 0.5000 0.0000  4 Ca 3.05
Hf2 0.1187 0.6250 0.2500  4 Hf 3.01-3.09
Ca2 0.0000 0.0000 0.0000  4 K 3.05
Hf3 0.8750 0.8813 0.7500  4 Hf 3.01-3.09
Hf4 0.3750 0.3687 0.7500  4 Hf 3.01-3.09
K2 0.2500 0.7500 0.5000  4 Ca 3.05

energy above the lowest structure with this stoichiometry: 0.000 eV per atom
energy of formation: 1.109 eV per atom

# 7
Compound: KCaHf3
Source: Alexandria via LeMat-Bulk
Functional: PBE
Structure: optimized geometry

a = 5.1670 Å, b = 5.1670 Å, c = 5.1670 Å
α = 90.00°, β = 90.00°, γ = 90.00°
With the nearest neighbours (Å) after each atom.
Sites, in units of the cell vectors:
Hf1 0.5000 0.0000 0.0000  2 K 2.58
Hf2 0.0000 0.0000 0.5000  2 K 2.58
Ca1 0.5000 0.5000 0.5000  12 Hf 3.65
Hf3 0.0000 0.5000 0.0000  2 K 2.58
K1 0.0000 0.0000 0.0000  6 Hf 2.58

energy above the lowest structure with this stoichiometry: 0.043 eV per atom
energy of formation: 1.900 eV per atom

# 8
Compound: KCaHf3
Source: Alexandria via LeMat-Bulk
Functional: PBE
Structure: optimized geometry

a = 5.4063 Å, b = 5.4063 Å, c = 5.4063 Å
α = 90.00°, β = 90.00°, γ = 90.00°
With the nearest neighbours (Å) after each atom.
Sites, in units of the cell vectors:
Hf1 0.5000 0.0000 0.0000  2 Ca 2.70
K1 0.5000 0.5000 0.5000  12 Hf 3.82
Hf2 0.0000 0.0000 0.5000  2 Ca 2.70
Ca1 0.0000 0.0000 0.0000  6 Hf 2.70
Hf3 0.0000 0.5000 0.0000  2 Ca 2.70

energy above the lowest structure with this stoichiometry: 0.000 eV per atom
energy of formation: 1.857 eV per atom

# 9
Compound: KLiCaHf2
Source: Alexandria via LeMat-Bulk
Functional: PBE
Structure: optimized geometry

a = 5.1567 Å, b = 5.4865 Å, c = 5.1567 Å
α = 90.00°, β = 90.00°, γ = 90.00°
With the nearest neighbours (Å) after each atom.
Sites, in units of the cell vectors:
Hf1 0.5000 0.0000 0.0000  2 K 2.58
Li1 0.5000 0.5000 0.5000  4 Ca 3.65, 8 Hf 3.76
Hf2 0.0000 0.0000 0.5000  2 K 2.58
Ca1 0.0000 0.5000 0.0000  2 K 2.74
K1 0.0000 0.0000 0.0000  4 Hf 2.58, 2 Ca 2.74

energy of formation: 1.809 eV per atom

# 10
Compound: K2CaHfMg
Source: Alexandria via LeMat-Bulk
Functional: PBE
Structure: optimized geometry

a = 6.6340 Å, b = 6.2211 Å, c = 6.6340 Å
α = 90.00°, β = 90.00°, γ = 90.00°
With the nearest neighbours (Å) after each atom.
Sites, in units of the cell vectors:
Mg1 0.5000 0.5000 0.5000  8 K 4.55, 4 Ca 4.69
Ca1 0.0000 0.5000 0.0000  2 Hf 3.11
K1 0.0000 0.0000 0.5000  2 Hf 3.32
Hf1 0.0000 0.0000 0.0000  2 Ca 3.11, 4 K 3.32
K2 0.5000 0.0000 0.0000  2 Hf 3.32

energy of formation: 1.221 eV per atom

# 11
Compound: K2CaHfO
Source: Alexandria via LeMat-Bulk
Functional: PBE
Structure: optimized geometry

a = 6.1271 Å, b = 4.3428 Å, c = 6.1271 Å
α = 90.00°, β = 90.00°, γ = 90.00°
With the nearest neighbours (Å) after each atom.
Sites, in units of the cell vectors:
K1 0.0000 0.0000 0.5000  2 O 3.06
Hf1 0.5000 0.5000 0.5000  8 K 3.76
Ca1 0.0000 0.5000 0.0000  2 O 2.17
O1 0.0000 0.0000 0.0000  2 Ca 2.17
K2 0.5000 0.0000 0.0000  2 O 3.06

uncorrected formation energy: 0.013 eV per atom

# 12
Compound: K2CaHf3O8
Source: Alexandria via LeMat-Bulk
Functional: PBE
Structure: optimized geometry

a = 6.5532 Å, b = 6.5532 Å, c = 7.5382 Å
α = 64.24°, β = 64.24°, γ = 60.00°
With the nearest neighbours (Å) after each atom.
Sites, in units of the cell vectors:
K1 0.4917 0.4917 0.5250  6 O 2.73-2.89
Hf1 0.4934 0.4934 0.0243  6 O 2.09-2.18
O1 0.2180 0.6908 0.8733  2 Hf 2.10
Ca1 0.9706 0.9706 0.0882  6 O 2.23-2.44
O2 0.2180 0.2180 0.8733  2 Hf 2.10
O3 0.7490 0.3086 0.1934  2 Hf 2.09, 1 Ca 2.23
Hf2 0.9889 0.4934 0.0243  6 O 2.09-2.18
O4 0.3086 0.7490 0.1934  2 Hf 2.09, 1 Ca 2.23
O5 0.7490 0.7490 0.1934  2 Hf 2.09, 1 Ca 2.23
Hf3 0.4934 0.9889 0.0243  6 O 2.09-2.18
O6 0.2710 0.2710 0.1870  3 Hf 2.18
O7 0.6908 0.2180 0.8733  2 Hf 2.10
O8 0.7125 0.7125 0.8625  3 Hf 2.15
K2 0.1379 0.1379 0.5864  4 O 2.60-2.73

uncorrected formation energy: -3.034 eV per atom

no.,total moment (Bohr magnetons per cell),E (Ry per atom)
1,2.68,-0.422
2,0.00,-0.481
3,0.00,-0.616
4,4.90,-0.135
5,0.00,-0.328
6,0.01,-0.341
7,0.00,-0.345
8,1.05,-0.348
9,0.00,-0.233
10,4.43,-0.142
11,3.51,-0.280
12,0.00,-0.610